A relaxed structure of Pu12Ru3Rh4, computed with PBE.

total moment	62.73	μB/f.u.
energy	-227.73	eV/cell
formation enthalpy at 0 K	0.08	eV/atom
DOS at the Fermi energy	77.258	states/eV/cell
space-group type	No. 204

Structure (CIF):
```
data_Pu12Ru3Rh4
_space_group_name_H-M_alt 'P 1'
_space_group_IT_number 1
_cell_length_a 8.829
_cell_length_b 8.829
_cell_length_c 8.829
_cell_angle_alpha 109.47
_cell_angle_beta 109.47
_cell_angle_gamma 109.47
loop_
_space_group_symop_operation_xyz
'x,y,z'
loop_
_atom_site_label
_atom_site_fract_x
_atom_site_fract_y
_atom_site_fract_z
Pu1 0.675 0.482 0.807
Pu2 0.807 0.675 0.482
Pu3 0.132 0.807 0.325
Pu4 0.193 0.675 0.868
Pu5 0.518 0.193 0.325
Pu6 0.325 0.132 0.807
Pu7 0.675 0.868 0.193
Pu8 0.482 0.807 0.675
Pu9 0.807 0.325 0.132
Pu10 0.325 0.518 0.193
Pu11 0.868 0.193 0.675
Pu12 0.193 0.325 0.518
Ru1 0.000 0.500 0.500
Ru2 0.500 0.500 0.000
Ru3 0.500 0.000 0.500
Rh1 0.500 0.000 0.000
Rh2 0.000 0.500 0.000
Rh3 0.000 0.000 0.500
Rh4 0.500 0.500 0.500
```



A relaxed structure of Pu2Ru3Rh, computed with PBE.

total moment	8.49	μB/f.u.
energy	-65.13	eV/cell
formation enthalpy at 0 K	-0.22	eV/atom
DOS at the Fermi energy	16.721	states/eV/cell
space-group type	No. 12

Structure (CIF):
```
data_Pu2Ru3Rh
_space_group_name_H-M_alt 'P 1'
_space_group_IT_number 1
_cell_length_a 5.262
_cell_length_b 5.262
_cell_length_c 5.379
_cell_angle_alpha 90.06
_cell_angle_beta 119.28
_cell_angle_gamma 119.93
loop_
_space_group_symop_operation_xyz
'x,y,z'
loop_
_atom_site_label
_atom_site_fract_x
_atom_site_fract_y
_atom_site_fract_z
Ru1 0.500 0.500 0.500
Ru2 0.000 0.000 0.500
Ru3 0.500 0.000 0.500
Pu1 0.752 0.376 0.129
Pu2 0.248 0.624 0.871
Rh1 0.000 0.000 0.000
```



A relaxed structure of Pu3RuRh, computed with PBE.

total moment	15.51	μB/f.u.
energy	-180.68	eV/cell
energy above the most stable polymorph in this dataset	0.192	eV/f.u.
formation enthalpy at 0 K	-0.12	eV/atom
DOS at the Fermi energy	61.621	states/eV/cell
space-group type	No. 221

Structure (CIF):
```
data_Pu3RuRh
_space_group_name_H-M_alt 'P 1'
_space_group_IT_number 1
_cell_length_a 6.835
_cell_length_b 6.835
_cell_length_c 6.835
_cell_angle_alpha 90.00
_cell_angle_beta 90.00
_cell_angle_gamma 90.00
loop_
_space_group_symop_operation_xyz
'x,y,z'
loop_
_atom_site_label
_atom_site_fract_x
_atom_site_fract_y
_atom_site_fract_z
Pu1 0.763 0.237 0.763
Pu2 0.763 0.763 0.763
Pu3 0.763 0.237 0.237
Pu4 0.237 0.763 0.763
Pu5 0.763 0.763 0.237
Pu6 0.237 0.237 0.237
Pu7 0.237 0.237 0.763
Pu8 0.237 0.763 0.237
Pu9 0.500 0.500 0.500
Ru1 0.500 0.000 0.000
Ru2 0.000 0.500 0.000
Ru3 0.000 0.000 0.500
Rh1 0.000 0.500 0.500
Rh2 0.500 0.000 0.500
Rh3 0.500 0.500 0.000
```



A relaxed structure of Pu8RuRh2, computed with PBE.

total moment	1.08	μB/f.u.
energy	-140.14	eV/cell
formation enthalpy at 0 K	-0.14	eV/atom
DOS at the Fermi energy	38.892	states/eV/cell
space-group type	No. 12

Structure (CIF):
```
data_Pu8RuRh2
_space_group_name_H-M_alt 'P 1'
_space_group_IT_number 1
_cell_length_a 5.125
_cell_length_b 6.664
_cell_length_c 7.529
_cell_angle_alpha 112.83
_cell_angle_beta 109.90
_cell_angle_gamma 90.00
loop_
_space_group_symop_operation_xyz
'x,y,z'
loop_
_atom_site_label
_atom_site_fract_x
_atom_site_fract_y
_atom_site_fract_z
Pu1 0.603 0.446 0.206
Pu2 0.148 0.208 0.295
Pu3 0.058 0.796 0.115
Pu4 0.397 0.554 0.794
Pu5 0.661 0.865 0.322
Pu6 0.942 0.204 0.885
Pu7 0.339 0.135 0.678
Pu8 0.852 0.792 0.705
Rh1 0.223 0.660 0.447
Rh2 0.777 0.340 0.553
Ru1 0.500 0.000 0.000
```



A relaxed structure of Pu8Ru2Rh3, computed with PBE.

total moment	21.16	μB/f.u.
energy	-157.19	eV/cell
energy above the most stable polymorph in this dataset	0.000	eV/f.u.
formation enthalpy at 0 K	-0.15	eV/atom
DOS at the Fermi energy	47.153	states/eV/cell
space-group type	No. 12

Structure (CIF):
```
data_Pu8Ru2Rh3
_space_group_name_H-M_alt 'P 1'
_space_group_IT_number 1
_cell_length_a 5.294
_cell_length_b 7.474
_cell_length_c 7.474
_cell_angle_alpha 81.34
_cell_angle_beta 70.74
_cell_angle_gamma 70.74
loop_
_space_group_symop_operation_xyz
'x,y,z'
loop_
_atom_site_label
_atom_site_fract_x
_atom_site_fract_y
_atom_site_fract_z
Rh1 0.000 0.736 0.264
Rh2 0.500 0.000 0.000
Rh3 0.000 0.264 0.736
Pu1 0.894 0.138 0.138
Pu2 0.351 0.919 0.401
Pu3 0.221 0.574 0.574
Pu4 0.351 0.401 0.919
Pu5 0.649 0.081 0.599
Pu6 0.649 0.599 0.081
Pu7 0.106 0.862 0.862
Pu8 0.779 0.426 0.426
Ru1 0.359 0.292 0.292
Ru2 0.641 0.708 0.708
```



A relaxed structure of Pu5Ru2Rh, computed with PBE.

total moment	5.40	μB/f.u.
energy	-98.20	eV/cell
formation enthalpy at 0 K	-0.08	eV/atom
DOS at the Fermi energy	26.493	states/eV/cell
space-group type	No. 5

Structure (CIF):
```
data_Pu5Ru2Rh
_space_group_name_H-M_alt 'P 1'
_space_group_IT_number 1
_cell_length_a 6.795
_cell_length_b 6.796
_cell_length_c 5.831
_cell_angle_alpha 124.43
_cell_angle_beta 124.46
_cell_angle_gamma 91.46
loop_
_space_group_symop_operation_xyz
'x,y,z'
loop_
_atom_site_label
_atom_site_fract_x
_atom_site_fract_y
_atom_site_fract_z
Pu1 0.769 0.676 0.444
Pu2 0.714 0.730 0.944
Pu3 0.214 0.230 0.944
Pu4 0.712 0.237 0.950
Pu5 0.207 0.732 0.939
Ru1 0.704 0.194 0.446
Ru2 0.250 0.740 0.442
Rh1 0.207 0.237 0.444
```



A relaxed structure of Pu6Ru2Rh, computed with PBE.

total moment	0.00	μB/f.u.
energy	-109.56	eV/cell
energy above the most stable polymorph in this dataset	3.290	eV/f.u.
formation enthalpy at 0 K	0.26	eV/atom
DOS at the Fermi energy	21.136	states/eV/cell
space-group type	No. 162

Structure (CIF):
```
data_Pu6Ru2Rh
_space_group_name_H-M_alt 'P 1'
_space_group_IT_number 1
_cell_length_a 2.769
_cell_length_b 7.940
_cell_length_c 7.940
_cell_angle_alpha 120.00
_cell_angle_beta 90.00
_cell_angle_gamma 90.00
loop_
_space_group_symop_operation_xyz
'x,y,z'
loop_
_atom_site_label
_atom_site_fract_x
_atom_site_fract_y
_atom_site_fract_z
Pu1 0.604 0.000 0.648
Pu2 0.604 0.352 0.353
Pu3 0.396 0.353 0.000
Pu4 0.604 0.647 0.000
Pu5 0.396 0.648 0.647
Pu6 0.396 0.000 0.352
Ru1 0.000 0.667 0.333
Ru2 0.000 0.333 0.667
Rh1 0.500 0.000 0.000
```



A relaxed structure of Pu4RuRh2, computed with PBE.

total moment	20.06	μB/f.u.
energy	-82.74	eV/cell
energy above the most stable polymorph in this dataset	0.546	eV/f.u.
formation enthalpy at 0 K	-0.21	eV/atom
DOS at the Fermi energy	27.049	states/eV/cell
space-group type	No. 139

Structure (CIF):
```
data_Pu4RuRh2
_space_group_name_H-M_alt 'P 1'
_space_group_IT_number 1
_cell_length_a 5.868
_cell_length_b 5.868
_cell_length_c 5.868
_cell_angle_alpha 108.42
_cell_angle_beta 110.00
_cell_angle_gamma 110.00
loop_
_space_group_symop_operation_xyz
'x,y,z'
loop_
_atom_site_label
_atom_site_fract_x
_atom_site_fract_y
_atom_site_fract_z
Pu1 0.000 0.500 0.000
Pu2 0.500 0.500 0.500
Pu3 0.500 0.000 0.000
Pu4 0.000 0.000 0.500
Ru1 0.000 0.000 0.000
Rh1 0.500 0.000 0.500
Rh2 0.500 0.500 0.000
```



A relaxed structure of Pu8Ru3Rh2, computed with PBE.

total moment	6.64	μB/f.u.
energy	-158.36	eV/cell
energy above the most stable polymorph in this dataset	0.000	eV/f.u.
formation enthalpy at 0 K	-0.09	eV/atom
DOS at the Fermi energy	40.930	states/eV/cell
space-group type	No. 12

Structure (CIF):
```
data_Pu8Ru3Rh2
_space_group_name_H-M_alt 'P 1'
_space_group_IT_number 1
_cell_length_a 4.012
_cell_length_b 8.419
_cell_length_c 8.419
_cell_angle_alpha 73.39
_cell_angle_beta 78.09
_cell_angle_gamma 78.09
loop_
_space_group_symop_operation_xyz
'x,y,z'
loop_
_atom_site_label
_atom_site_fract_x
_atom_site_fract_y
_atom_site_fract_z
Rh1 0.278 0.271 0.271
Rh2 0.722 0.729 0.729
Pu1 0.212 0.553 0.553
Pu2 0.633 0.138 0.577
Pu3 0.367 0.423 0.862
Pu4 0.113 0.863 0.863
Pu5 0.367 0.862 0.423
Pu6 0.887 0.137 0.137
Pu7 0.788 0.447 0.447
Pu8 0.633 0.577 0.138
Ru1 0.500 0.000 0.000
Ru2 0.000 0.231 0.769
Ru3 0.000 0.769 0.231
```



A relaxed structure of Pu8Ru3Rh2, computed with PBE.

total moment	1.21	μB/f.u.
energy	-157.97	eV/cell
energy above the most stable polymorph in this dataset	0.387	eV/f.u.
formation enthalpy at 0 K	-0.06	eV/atom
DOS at the Fermi energy	51.451	states/eV/cell
space-group type	No. 12

Structure (CIF):
```
data_Pu8Ru3Rh2
_space_group_name_H-M_alt 'P 1'
_space_group_IT_number 1
_cell_length_a 5.480
_cell_length_b 9.718
_cell_length_c 7.518
_cell_angle_alpha 130.26
_cell_angle_beta 67.95
_cell_angle_gamma 90.00
loop_
_space_group_symop_operation_xyz
'x,y,z'
loop_
_atom_site_label
_atom_site_fract_x
_atom_site_fract_y
_atom_site_fract_z
Ru1 0.000 0.727 0.000
Ru2 0.500 0.000 0.000
Ru3 0.000 0.273 0.000
Pu1 0.970 0.663 0.326
Pu2 0.030 0.337 0.674
Pu3 0.645 0.070 0.682
Pu4 0.136 0.865 0.731
Pu5 0.355 0.930 0.318
Pu6 0.864 0.135 0.269
Pu7 0.355 0.388 0.318
Pu8 0.645 0.612 0.682
Rh1 0.560 0.603 0.205
Rh2 0.440 0.397 0.795
```



A relaxed structure of Pu7Ru2Rh2, computed with PBE.

total moment	4.28	μB/f.u.
energy	-134.76	eV/cell
energy above the most stable polymorph in this dataset	0.000	eV/f.u.
formation enthalpy at 0 K	-0.11	eV/atom
DOS at the Fermi energy	52.504	states/eV/cell
space-group type	No. 8

Structure (CIF):
```
data_Pu7Ru2Rh2
_space_group_name_H-M_alt 'P 1'
_space_group_IT_number 1
_cell_length_a 4.591
_cell_length_b 7.681
_cell_length_c 8.034
_cell_angle_alpha 118.09
_cell_angle_beta 106.60
_cell_angle_gamma 90.00
loop_
_space_group_symop_operation_xyz
'x,y,z'
loop_
_atom_site_label
_atom_site_fract_x
_atom_site_fract_y
_atom_site_fract_z
Pu1 0.872 0.196 0.745
Pu2 0.499 0.004 0.997
Pu3 0.813 0.685 0.625
Pu4 0.364 0.525 0.729
Pu5 0.137 0.450 0.273
Pu6 0.634 0.791 0.267
Pu7 0.172 0.044 0.344
Rh1 0.505 0.366 0.009
Rh2 0.998 0.636 0.995
Ru1 0.314 0.904 0.628
Ru2 0.693 0.252 0.387
```



A relaxed structure of Pu8Ru2Rh3, computed with PBE.

total moment	6.26	μB/f.u.
energy	-155.30	eV/cell
energy above the most stable polymorph in this dataset	1.898	eV/f.u.
formation enthalpy at 0 K	0.00	eV/atom
DOS at the Fermi energy	31.770	states/eV/cell
space-group type	No. 12

Structure (CIF):
```
data_Pu8Ru2Rh3
_space_group_name_H-M_alt 'P 1'
_space_group_IT_number 1
_cell_length_a 4.895
_cell_length_b 7.398
_cell_length_c 7.939
_cell_angle_alpha 117.77
_cell_angle_beta 83.15
_cell_angle_gamma 90.00
loop_
_space_group_symop_operation_xyz
'x,y,z'
loop_
_atom_site_label
_atom_site_fract_x
_atom_site_fract_y
_atom_site_fract_z
Ru1 0.729 0.534 0.067
Ru2 0.271 0.466 0.933
Pu1 0.951 0.839 0.677
Pu2 0.053 0.665 0.331
Pu3 0.409 0.406 0.305
Pu4 0.049 0.161 0.323
Pu5 0.591 0.101 0.695
Pu6 0.591 0.594 0.695
Pu7 0.409 0.899 0.305
Pu8 0.947 0.335 0.669
Rh1 0.500 0.000 0.000
Rh2 0.000 0.191 0.000
Rh3 0.000 0.809 0.000
```